Record 1
## Li2Ca2Au3 (PBE-GGA)

Data for a relaxed Li2Ca2Au3 crystal.

```
Li2Ca2Au3
1.0
1.878 -11.373 0.000
1.878 11.373 0.000
0.000 0.000 3.315
Li Ca Au
2 2 3
Direct
0.216 0.784 0.000 Li
0.784 0.216 0.000 Li
0.083 0.917 0.000 Ca
0.917 0.083 0.000 Ca
0.329 0.671 0.500 Au
0.500 0.500 0.500 Au
0.671 0.329 0.500 Au
```

Calculated values
* crystal system: orthorhombic
* total moment: 0.00 Bohr magnetons per cell
* space group: Cmmm (65)
* ΔE_f: -0.586 eV per atom


Record 2
## LiCaAu2 (PBE-GGA)

Data for a relaxed LiCaAu2 crystal.

```
LiCaAu2
1.0
3.935 -2.275 0.000
3.935 2.275 0.000
-2.635 0.000 4.822
Li Ca Au
1 1 2
Direct
0.000 0.000 0.000 Li
0.500 0.500 0.500 Ca
0.284 0.284 0.853 Au
0.716 0.716 0.147 Au
```

Calculated values
* crystal system: monoclinic
* total moment: 0.00 Bohr magnetons per cell
* space group: C2/m (12)
* ΔE_f: -0.668 eV per atom


Record 3
## LiCa2Au2 (PBE-GGA)

Data for a relaxed LiCa2Au2 crystal.

```
LiCa2Au2
1.0
7.722 0.000 0.000
0.000 7.722 0.000
0.000 0.000 4.169
Li Ca Au
2 4 4
Direct
0.000 0.000 0.000 Li
0.500 0.500 0.000 Li
0.167 0.333 0.500 Ca
0.333 0.833 0.500 Ca
0.667 0.167 0.500 Ca
0.833 0.667 0.500 Ca
0.135 0.635 0.000 Au
0.365 0.135 0.000 Au
0.635 0.865 0.000 Au
0.865 0.365 0.000 Au
```

Calculated values
* crystal system: tetragonal
* total moment: 0.00 Bohr magnetons per cell
* space group: P4/mbm (127)
* ΔE_f: -0.653 eV per atom


Record 4
## Li5CaAu6 (PBE-GGA)

Data for a relaxed Li5CaAu6 crystal.

```
Li5CaAu6
1.0
2.276 -6.827 0.000
2.276 6.827 0.000
0.000 0.000 6.655
Li Ca Au
5 1 6
Direct
0.000 0.000 0.000 Li
0.328 0.672 0.500 Li
0.337 0.663 0.000 Li
0.663 0.337 0.000 Li
0.672 0.328 0.500 Li
0.000 0.000 0.500 Ca
0.175 0.825 0.234 Au
0.175 0.825 0.766 Au
0.500 0.500 0.222 Au
0.500 0.500 0.778 Au
0.825 0.175 0.234 Au
0.825 0.175 0.766 Au
```

Calculated values
* crystal system: orthorhombic
* total moment: 0.00 Bohr magnetons per cell
* space group: Cmmm (65)
* ΔE_f: -0.553 eV per atom


Record 5
## LiCaAu2 (PBE-GGA)

Data for a relaxed LiCaAu2 crystal.

```
LiCaAu2
1.0
-1.949 2.087 5.355
1.949 -2.087 5.355
1.949 2.087 -5.355
Li Ca Au
1 1 2
Direct
0.000 0.000 0.000 Li
0.500 0.500 0.000 Ca
0.216 0.216 0.000 Au
0.784 0.784 0.000 Au
```

Calculated values
* crystal system: orthorhombic
* total moment: 0.00 Bohr magnetons per cell
* space group: Immm (71)
* ΔE_f: -0.077 eV per atom


Record 6
## Li17Ca2Au3 (PBE-GGA)

Data for a relaxed Li17Ca2Au3 crystal.

```
Li17Ca2Au3
1.0
5.216 3.011 5.043
-5.216 3.011 5.043
0.000 -6.022 5.043
Li Ca Au
17 2 3
Direct
0.000 0.000 0.500 Li
0.000 0.263 0.737 Li
0.000 0.500 0.000 Li
0.000 0.737 0.263 Li
0.096 0.096 0.096 Li
0.179 0.665 0.665 Li
0.263 0.000 0.737 Li
0.263 0.737 0.000 Li
0.335 0.335 0.821 Li
0.335 0.821 0.335 Li
0.500 0.000 0.000 Li
0.665 0.179 0.665 Li
0.665 0.665 0.179 Li
0.737 0.000 0.263 Li
0.737 0.263 0.000 Li
0.821 0.335 0.335 Li
0.904 0.904 0.904 Li
0.332 0.332 0.332 Ca
0.668 0.668 0.668 Ca
0.000 0.500 0.500 Au
0.500 0.000 0.500 Au
0.500 0.500 0.000 Au
```

Calculated values
* crystal system: trigonal
* total moment: 0.00 Bohr magnetons per cell
* space group: R-3m (166)
* ΔE_f: -0.144 eV per atom


Record 7
## Li5CaAu (PBE-GGA)

Data for a relaxed Li5CaAu crystal.

```
Li5CaAu
1.0
3.998 0.000 0.000
0.000 3.998 0.000
0.000 0.000 9.535
Li Ca Au
5 1 1
Direct
0.000 0.000 0.000 Li
0.000 0.500 0.202 Li
0.000 0.500 0.798 Li
0.500 0.000 0.202 Li
0.500 0.000 0.798 Li
0.000 0.000 0.500 Ca
0.500 0.500 0.000 Au
```

Calculated values
* crystal system: tetragonal
* total moment: 0.00 Bohr magnetons per cell
* space group: P4/mmm (123)
* ΔE_f: -0.165 eV per atom


Record 8
## Li2Ca7Au (PBE-GGA)

Data for a relaxed Li2Ca7Au crystal.

```
Li2Ca7Au
1.0
8.088 -4.820 0.000
8.088 4.820 0.000
-6.598 0.000 8.894
Li Ca Au
4 14 2
Direct
0.152 0.156 0.105 Li
0.156 0.152 0.605 Li
0.844 0.848 0.395 Li
0.848 0.844 0.895 Li
0.083 0.917 0.250 Ca
0.126 0.597 0.703 Ca
0.197 0.406 0.976 Ca
0.255 0.574 0.396 Ca
0.403 0.874 0.797 Ca
0.406 0.197 0.476 Ca
0.426 0.745 0.104 Ca
0.574 0.255 0.896 Ca
0.594 0.803 0.524 Ca
0.597 0.126 0.203 Ca
0.745 0.426 0.604 Ca
0.803 0.594 0.024 Ca
0.874 0.403 0.297 Ca
0.917 0.083 0.750 Ca
0.499 0.501 0.750 Au
0.501 0.499 0.250 Au
```

Calculated values
* crystal system: monoclinic
* total moment: 0.00 Bohr magnetons per cell
* space group: C2/c (15)
* ΔE_f: -0.150 eV per atom


Number 5 is which compound? LiCaAu2


Which value of total moment does entry 7 give? 0.00 Bohr magnetons per cell